Entry 1:
The following is a DFT calculation (GGA-PBE) of a relaxed CdGe2W crystal.

POSCAR file:
```
CdGe2W
1.0
6.6221 0.0000 0.0000
0.0000 6.6221 0.0000
0.0000 0.0000 6.6221
Cd Ge W
4 8 4
Cartesian
0.0000 0.0000 0.0000 Cd
0.0000 3.3111 3.3111 Cd
3.3111 0.0000 3.3111 Cd
3.3111 3.3111 0.0000 Cd
0.0000 0.0000 3.3111 Ge
0.0000 3.3111 0.0000 Ge
1.6555 1.6555 1.6555 Ge
1.6555 4.9666 4.9666 Ge
3.3111 0.0000 0.0000 Ge
3.3111 3.3111 3.3111 Ge
4.9666 1.6555 4.9666 Ge
4.9666 4.9666 1.6555 Ge
1.6555 1.6555 4.9666 W
1.6555 4.9666 1.6555 W
4.9666 1.6555 1.6555 W
4.9666 4.9666 4.9666 W
```

Computed properties:
crystal system	cubic
calculated total energy	-4.8876	eV/atom


Entry 2:
The following is a DFT calculation (GGA-PBE) of a relaxed NaHfAgS3 crystal.

POSCAR file:
```
NaHfAgS3
1.0
7.3261 0.0000 0.0000
0.0000 3.9156 0.0000
0.0000 0.0000 16.4973
Na Hf Ag S
4 4 4 12
Cartesian
0.7612 0.9789 3.0839 Na
2.9018 2.9367 11.3325 Na
4.4243 0.9789 5.1648 Na
6.5649 2.9367 13.4135 Na
1.7935 0.9789 15.8007 Hf
1.8695 2.9367 7.5520 Hf
5.4566 0.9789 8.9453 Hf
5.5326 2.9367 0.6966 Hf
0.3122 0.9789 11.1458 Ag
3.3509 2.9367 2.8971 Ag
3.9752 0.9789 13.6002 Ag
7.0139 2.9367 5.3516 Ag
0.0740 0.9789 7.0398 S
0.9296 2.9367 0.7955 S
1.3932 0.9789 13.3453 S
2.2699 2.9367 5.0967 S
2.7335 0.9789 9.0442 S
3.5891 2.9367 15.2884 S
3.7370 0.9789 1.2089 S
4.5926 2.9367 7.4532 S
5.0562 0.9789 11.4007 S
5.9329 2.9367 3.1520 S
6.3965 0.9789 15.7019 S
7.2521 2.9367 9.4576 S
```

Computed properties:
crystal system	orthorhombic
calculated total energy	-5.4271	eV/atom


Entry 3:
The following is a DFT calculation (GGA-PBE) of a relaxed Ag3Te2Br2O6 crystal.

POSCAR file:
```
Ag3Te2Br2O6
1.0
4.9118 -3.3351 0.0000
4.9118 3.3351 0.0000
-3.0373 0.0000 7.5830
Ag Te Br O
3 2 2 6
Cartesian
0.0000 0.0000 0.0000 Ag
3.4491 0.0000 1.2109 Ag
3.3372 0.0000 6.3721 Ag
-0.5421 0.0000 5.4364 Te
7.3284 0.0000 2.1466 Te
1.6466 0.0000 2.9852 Br
5.1397 0.0000 4.5978 Br
3.5602 2.0782 1.2299 O
3.2261 2.0782 6.3531 O
0.9235 0.0000 6.5787 O
5.8628 0.0000 1.0043 O
3.5602 -2.0782 1.2299 O
3.2261 -2.0782 6.3531 O
```

Computed properties:
crystal system	monoclinic
calculated total energy	-4.1750	eV/atom


Entry 4:
The following is a DFT calculation (GGA-PBE) of a relaxed LaBe2Zn crystal.

POSCAR file:
```
LaBe2Zn
1.0
6.5615 0.0000 0.0000
0.0000 6.5615 0.0000
0.0000 0.0000 6.5615
La Be Zn
4 8 4
Cartesian
0.0000 0.0000 0.0000 La
0.0000 3.2807 3.2807 La
3.2807 0.0000 3.2807 La
3.2807 3.2807 0.0000 La
0.0000 0.0000 3.2807 Be
0.0000 3.2807 0.0000 Be
1.6404 1.6404 1.6404 Be
1.6404 4.9211 4.9211 Be
3.2807 0.0000 0.0000 Be
3.2807 3.2807 3.2807 Be
4.9211 1.6404 4.9211 Be
4.9211 4.9211 1.6404 Be
1.6404 1.6404 4.9211 Zn
1.6404 4.9211 1.6404 Zn
4.9211 1.6404 1.6404 Zn
4.9211 4.9211 4.9211 Zn
```

Computed properties:
crystal system	cubic
calculated total energy	-3.1884	eV/atom


Entry 5:
The following is a DFT calculation (GGA-PBE) of a relaxed TbDy2Cd3Ir2Pt crystal.

POSCAR file:
```
TbDy2Cd3Ir2Pt
1.0
3.9465 0.0000 0.0000
0.0000 6.4930 3.7479
0.0000 -6.4930 3.7479
Tb Dy Cd Ir Pt
1 2 3 2 1
Cartesian
0.0000 0.0000 0.0000 Tb
0.0000 -2.6461 2.9113 Dy
0.0000 2.6461 2.9113 Dy
1.9732 0.0000 2.4975 Cd
1.9732 -1.6807 5.4088 Cd
1.9732 1.6807 5.4088 Cd
1.9732 -4.3221 4.4407 Ir
1.9732 4.3221 4.4407 Ir
0.0000 0.0000 4.4340 Pt
```

Computed properties:
crystal system	orthorhombic
calculated total energy	-5.1432	eV/atom
formation enthalpy at 0 K	-6.00	eV per formula unit


Entry 6:
The following is a DFT calculation (GGA-PBE) of a relaxed SmAlNO crystal.

POSCAR file:
```
SmAlNO
1.0
5.6367 0.0000 0.0000
0.0000 7.6458 0.0000
0.0000 0.0000 5.1000
Sm Al N O
4 4 4 4
Cartesian
0.2262 1.0688 0.0000 Sm
2.5922 1.0688 2.5500 Sm
3.0445 6.5770 0.0000 Sm
5.4105 6.5770 2.5500 Sm
0.4662 4.5182 4.8644 Al
2.3521 4.5182 2.3144 Al
3.2846 3.1276 4.8644 Al
5.1704 3.1276 2.3144 Al
0.6349 4.4410 3.0100 N
2.1834 4.4410 0.4600 N
3.4532 3.2048 3.0100 N
5.0018 3.2048 0.4600 N
0.2573 1.4189 2.5740 O
2.5610 1.4189 0.0240 O
3.0757 6.2269 2.5740 O
5.3793 6.2269 0.0240 O
```

Computed properties:
crystal system	orthorhombic
calculated total energy	-7.3446	eV/atom